! BeHg2Se, optimized geometry, DFT GGA-PBE; values from VASP
! DFT total energy: -1.723 eV/atom
! total magnetic moment: 0.00 μB per atom
! calculated volume: 21.2 A^3/atom
! formation energy (no corrections): 0.23 eV/atom
! relative energy among the computed polymorphs: 0.503 eV/atom
! SG: Cmmm, No. 65
&SYSTEM
  ibrav = 0, nat = 4, ntyp = 3
/
ATOMIC_SPECIES
Se 78.96 Se.upf
Hg 200.59 Hg.upf
Be 9.01 Be.upf
ATOMIC_POSITIONS crystal
Se 0.500 0.250 0.250
Hg 0.000 0.535 0.535
Be 0.500 0.750 0.750
Hg 0.000 0.965 0.965
CELL_PARAMETERS angstrom
3.721 0.000 0.000
0.000 4.908 -0.039
0.000 1.642 4.624